[1]
HfCdCoNi | GGA-PBE | optimized geometry

## Properties
- Calculated total energy: -24.456 eV/cell
- SG: F-43m
- Energy of formation: -175.1 meV/atom
- Total moment: 0.660 μB/f.u.
- Calculated volume: 61.1 Å³ per cell

```
4
Lattice="-2.2105 -2.9162 -2.4788 1.8870 -3.8412 -1.1041 -1.4521 -3.7709 1.7907" Properties=species:S:1:pos:R:3 pbc="T T T"
Ni 0.0000 0.0000 0.0000
Co -0.8878 -5.2641 -0.8961
Hf -0.4439 -2.6321 -0.4480
Cd -1.3317 -7.8962 -1.3441
```

[2]
Dy5HoPt6 | GGA-PBE | optimized geometry

## Properties
- Calculated total energy: -78.559 eV/cell
- SG: C2/m
- Energy of formation: -1227.2 meV/atom
- Total moment: 0.000 μB/f.u.
- Calculated volume: 255.2 Å³ per cell

```
12
Lattice="4.8856 -0.3108 0.7933 -0.0191 6.4068 2.6271 1.1333 0.2688 8.4780" Properties=species:S:1:pos:R:3 pbc="T T T"
Ho 0.0000 0.0000 0.0000
Pt 4.4402 3.5755 5.0128
Pt 4.4506 0.3644 3.6970
Pt 3.5626 4.9270 10.8478
Pt 2.4373 1.4378 1.0506
Pt 1.5492 6.0003 8.2013
Pt 1.5597 2.7892 6.8856
Dy 4.0087 1.0402 6.6190
Dy 2.0006 2.1218 3.9652
Dy -0.0095 3.2034 1.3135
Dy 3.9992 4.2429 7.9332
Dy 1.9911 5.3246 5.2794
```

[3]
Nd3SbN2 | GGA-PBE | optimized geometry

## Properties
- Calculated total energy: -83.264 eV/cell
- SG: Pmc2_1
- Total moment: 0.000 μB/f.u.
- Calculated volume: 265.1 Å³ per cell
- Formation energy without anion corrections: -6.56 eV per formula unit
- ΔE to the lowest computed polymorph: 0.060 eV/atom

```
12
Lattice="-2.0328 -2.0444 -2.0959 1.2460 -5.1909 3.8547 -9.0302 2.5147 6.3053" Properties=species:S:1:pos:R:3 pbc="T T T"
Nd -1.8531 -1.3486 0.0819
Nd -6.7380 -0.7649 4.2503
Nd -3.3824 -0.2291 3.5040
Nd -8.2991 -1.9756 6.9451
Nd -3.0146 -4.2238 4.0128
Nd -4.4223 -2.3615 6.5924
Sb -7.7890 2.0584 5.5465
Sb -0.5613 -2.3763 2.8622
N -2.2173 0.5451 1.6187
N -5.5311 0.0875 2.2483
N -6.1528 -0.7809 6.7290
N -4.8330 -2.5289 4.1232
```

[4]
K16LiCd12 | GGA-PBE | optimized geometry

## Properties
- Calculated total energy: -30.983 eV/cell
- SG: Cm
- Energy of formation: -18.2 meV/atom
- Total moment: 0.000 μB/f.u.
- Calculated volume: 1193.7 Å³ per cell

```
29
Lattice="-0.2684 -3.0956 -10.6371 0.9653 -9.5112 5.6042 -10.2547 3.9561 2.3417" Properties=species:S:1:pos:R:3 pbc="T T T"
K -2.7455 -2.6138 -0.8239
K -10.2277 3.9433 2.3346
K -5.7003 -10.0816 -3.5494
K -6.7447 -0.8178 0.1893
K 0.0756 -6.0765 -4.5020
K -6.4179 -3.0811 -3.1377
K -3.7901 -7.6833 -5.8624
K 0.5931 -5.9832 3.4219
K -2.8706 -3.7890 -4.7734
K -6.7489 1.2215 -2.9626
K -6.2313 -1.4698 3.8506
K -2.4136 -6.1655 1.2426
K -0.1693 -2.0185 -6.6148
K -3.3827 -9.8017 -0.4996
K -6.1030 -4.7186 1.0078
K 0.3497 -7.5018 -0.8940
Li -4.2431 -6.4662 -2.2320
Cd -1.3319 -9.7982 -3.7693
Cd -8.5674 -5.4648 -1.5079
Cd -9.7552 1.4876 -0.3555
Cd -6.7223 -6.6198 -3.7710
Cd -2.3784 -8.3989 4.5398
Cd -0.6060 -9.5743 2.2837
Cd -7.6893 -5.1349 4.5788
Cd -8.4769 -1.0391 -5.7896
Cd -1.3931 -5.4809 -8.0789
Cd -3.3823 -3.1786 -8.6755
Cd -6.5044 -7.7532 -0.9018
Cd -9.5350 0.3423 2.5437
```

Please write out number 3 again, unchanged.
Nd3SbN2 | GGA-PBE | optimized geometry

## Properties
- Calculated total energy: -83.264 eV/cell
- SG: Pmc2_1
- Total moment: 0.000 μB/f.u.
- Calculated volume: 265.1 Å³ per cell
- Formation energy without anion corrections: -6.56 eV per formula unit
- ΔE to the lowest computed polymorph: 0.060 eV/atom

```
12
Lattice="-2.0328 -2.0444 -2.0959 1.2460 -5.1909 3.8547 -9.0302 2.5147 6.3053" Properties=species:S:1:pos:R:3 pbc="T T T"
Nd -1.8531 -1.3486 0.0819
Nd -6.7380 -0.7649 4.2503
Nd -3.3824 -0.2291 3.5040
Nd -8.2991 -1.9756 6.9451
Nd -3.0146 -4.2238 4.0128
Nd -4.4223 -2.3615 6.5924
Sb -7.7890 2.0584 5.5465
Sb -0.5613 -2.3763 2.8622
N -2.2173 0.5451 1.6187
N -5.5311 0.0875 2.2483
N -6.1528 -0.7809 6.7290
N -4.8330 -2.5289 4.1232
```